# 1
Computed, not measured: crystalline PuTlTe3Au at its relaxed geometry at the PBE level of DFT.

Computed properties:
SG: Cmcm
Formation energy from raw total energies, meV per atom: -566
E, eV/atom: -5.47
Volume, Å³/f.u.: 191.06

Cell lengths 4.3433, 8.1273, 11.2333 Å; angles 90.00, 90.00, 105.50 degrees
Site moments in Bohr magnetons follow the coordinates.
Sites, in units of the cell vectors:
Te (0.3644, 0.7288, 0.5487)  -0.16
Te (0.3644, 0.7288, 0.9513)  -0.16
Te (0.0798, 0.1596, 0.7500)  -0.15
Te (0.6356, 0.2712, 0.0487)  -0.16
Te (0.6356, 0.2712, 0.4513)  -0.16
Te (0.9202, 0.8404, 0.2500)  -0.15
Pu (0.0000, 0.0000, 0.5000)  4.95
Pu (0.0000, 0.0000, 0.0000)  4.95
Au (0.5341, 0.0682, 0.2500)  -0.10
Au (0.4659, 0.9318, 0.7500)  -0.10
Tl (0.2342, 0.4685, 0.2500)  -0.03
Tl (0.7658, 0.5315, 0.7500)  -0.03

---

# 2
Computed, not measured: crystalline PrYNi2 at its relaxed geometry at the PBE level of DFT.

Computed properties:
SG: P4/mmm
Formation energy from the elements, eV per formula unit: -1.079
E, eV/atom: -5.97
Volume, Å³/f.u.: 82.52

Cell lengths 3.4603, 3.4603, 6.8914 Å; angles 90.00, 90.00, 90.00 degrees
Sites, in units of the cell vectors:
Pr (0.5000, 0.5000, 0.5000)
Ni (0.0000, 0.0000, 0.7660)
Ni (0.0000, 0.0000, 0.2340)
Y (0.5000, 0.5000, 0.0000)

---

# 3
Computed, not measured: crystalline TaTe2Mo at its relaxed geometry at the PBE level of DFT.

Computed properties:
SG: R-3m
Formation energy from raw total energies, meV per atom: 433
E, eV/atom: -6.81
Volume, Å³/f.u.: 88.11

Cell lengths 9.6215, 9.6215, 9.6215 Å; angles 19.65, 19.65, 19.65 degrees
Sites, in units of the cell vectors:
Te (0.9024, 0.9024, 0.9024)
Te (0.0976, 0.0976, 0.0976)
Ta (0.0000, 0.0000, 0.0000)
Mo (0.5000, 0.5000, 0.5000)

---

# 4
Computed, not measured: crystalline ZrFeBr2 at its relaxed geometry at the PBE level of DFT.

Computed properties:
SG: R-3m
Formation energy from raw total energies, meV per atom: 278
E, eV/atom: -4.81
Volume, Å³/f.u.: 84.48

Cell lengths 8.5957, 8.5957, 8.5957 Å; angles 22.91, 22.91, 22.91 degrees
Sites, in units of the cell vectors:
Zr (0.0000, 0.0000, 0.0000)
Br (0.8895, 0.8895, 0.8895)
Br (0.1105, 0.1105, 0.1105)
Fe (0.5000, 0.5000, 0.5000)

---

# 5
Computed, not measured: crystalline Tl2HgPb at its relaxed geometry at the PBE level of DFT.

Computed properties:
SG: I-4m2
Formation energy from the elements, eV per formula unit: 0.139
E, eV/atom: -2.15
Volume, Å³/f.u.: 117.67

Cell lengths 5.9594, 5.9594, 5.9594 Å; angles 131.08, 131.08, 71.69 degrees
Sites, in units of the cell vectors:
Tl (0.2500, 0.7500, 0.5000)
Tl (0.0000, 0.0000, 0.0000)
Hg (0.5000, 0.5000, 0.0000)
Pb (0.7500, 0.2500, 0.5000)

---

# 6
Computed, not measured: crystalline Ac6Sn5Sb at its relaxed geometry at the PBE level of DFT.

Computed properties:
SG: C2/m
Formation energy from raw total energies, meV per atom: -622
E, eV/atom: -4.69
Volume, Å³/f.u.: 474.63

Cell lengths 8.3828, 8.3441, 8.3076 Å; angles 59.85, 80.51, 70.83 degrees
Sites, in units of the cell vectors:
Ac (0.2454, 0.2463, 0.0000)
Ac (0.7526, 0.0823, 0.3285)
Ac (0.2474, 0.5893, 0.3285)
Ac (0.2474, 0.9177, 0.6715)
Ac (0.7526, 0.4107, 0.6715)
Ac (0.7546, 0.7537, 0.0000)
Sn (0.0000, 0.3337, 0.3326)
Sn (0.0000, 0.6663, 0.6674)
Sn (0.5000, 0.8333, 0.3335)
Sn (0.5000, 0.1667, 0.6665)
Sn (0.5000, 0.5000, 0.0000)
Sb (0.0000, 0.0000, 0.0000)

---

# 7
Computed, not measured: crystalline SrAgAs2O6 at its relaxed geometry at the PBE level of DFT.

Computed properties:
SG: C2/c
Formation energy from raw total energies, meV per atom: -1396
E, eV/atom: -5.75
Volume, Å³/f.u.: 163.67

Cell lengths 7.4684, 7.4684, 6.3800 Å; angles 106.44, 106.44, 85.86 degrees
Sites, in units of the cell vectors:
O (0.0909, 0.6477, 0.8782)
O (0.6477, 0.0909, 0.3782)
O (0.1819, 0.1065, 0.9689)
O (0.8181, 0.8935, 0.0311)
O (0.9091, 0.3523, 0.1218)
O (0.8935, 0.8181, 0.5311)
O (0.7035, 0.5612, 0.6666)
O (0.2965, 0.4388, 0.3334)
O (0.1065, 0.1819, 0.4689)
O (0.4388, 0.2965, 0.8334)
O (0.5612, 0.7035, 0.1666)
O (0.3523, 0.9091, 0.6218)
Sr (0.3810, 0.6190, 0.7500)
Sr (0.6190, 0.3810, 0.2500)
As (0.7352, 0.8724, 0.2822)
As (0.8724, 0.7352, 0.7822)
As (0.2648, 0.1276, 0.7178)
As (0.1276, 0.2648, 0.2178)
Ag (0.2339, 0.7661, 0.2500)
Ag (0.7661, 0.2339, 0.7500)

---

# 8
Computed, not measured: crystalline NbTlBr2 at its relaxed geometry at the PBE level of DFT.

Computed properties:
SG: R-3m
Formation energy from raw total energies, meV per atom: -366
E, eV/atom: -4.31
Volume, Å³/f.u.: 106.47

Cell lengths 10.7801, 10.7801, 10.7801 Å; angles 18.18, 18.18, 18.18 degrees
Sites, in units of the cell vectors:
Tl (0.0000, 0.0000, 0.0000)
Br (0.1083, 0.1083, 0.1083)
Br (0.8917, 0.8917, 0.8917)
Nb (0.5000, 0.5000, 0.5000)

---

# 9
Computed, not measured: crystalline K2Cd2BiO4 at its relaxed geometry at the PBE level of DFT.

Computed properties:
SG: C2/m
Formation energy from raw total energies, meV per atom: -1080
E, eV/atom: -4.16
Volume, Å³/f.u.: 179.13

Cell lengths 3.5043, 8.3553, 11.3446 Å; angles 144.65, 90.00, 102.11 degrees
Sites, in units of the cell vectors:
Bi (0.0000, 0.0000, 0.0000)
O (0.2441, 0.4881, 0.2175)
O (0.7559, 0.5119, 0.7825)
O (0.4550, 0.9100, 0.8055)
O (0.5450, 0.0900, 0.1945)
Cd (0.2932, 0.5865, 0.9503)
Cd (0.7068, 0.4135, 0.0497)
K (0.1364, 0.2727, 0.4810)
K (0.8636, 0.7273, 0.5190)

---

# 10
Computed, not measured: crystalline PuPa2Se3 at its relaxed geometry at the PBE level of DFT.

Computed properties:
SG: P2_1/c
Formation energy from raw total energies, meV per atom: -1306
E, eV/atom: -8.60
Volume, Å³/f.u.: 144.35

Cell lengths 5.7704, 8.1424, 12.2894 Å; angles 90.00, 90.00, 89.99 degrees
Site moments in Bohr magnetons follow the coordinates.
Sites, in units of the cell vectors:
Pa (0.7506, 0.1220, 0.5833)  -0.41
Pa (0.2494, 0.8780, 0.4167)  -0.41
Pa (0.2511, 0.8750, 0.7503)  -0.26
Pa (0.7489, 0.6250, 0.2503)  -0.26
Pa (0.7489, 0.1250, 0.2497)  -0.26
Pa (0.7506, 0.6220, 0.9167)  -0.41
Pa (0.2494, 0.3780, 0.0833)  -0.41
Pa (0.2511, 0.3750, 0.7497)  -0.26
Pu (0.7504, 0.6288, 0.5820)  -5.32
Pu (0.7504, 0.1288, 0.9180)  -5.32
Pu (0.2496, 0.8712, 0.0820)  -5.32
Pu (0.2496, 0.3712, 0.4180)  -5.32
Se (0.2505, 0.6249, 0.5822)  0.04
Se (0.2506, 0.6256, 0.9160)  0.02
Se (0.2489, 0.1250, 0.2477)  0.03
Se (0.7511, 0.8750, 0.7523)  0.03
Se (0.7511, 0.3750, 0.7477)  0.03
Se (0.2505, 0.1249, 0.9178)  0.04
Se (0.7494, 0.3744, 0.0840)  0.02
Se (0.7495, 0.8751, 0.0822)  0.04
Se (0.7495, 0.3751, 0.4178)  0.04
Se (0.7494, 0.8744, 0.4160)  0.02
Se (0.2489, 0.6250, 0.2523)  0.03
Se (0.2506, 0.1256, 0.5840)  0.02

---

# 11
Computed, not measured: crystalline In2ReSb at its relaxed geometry at the PBE level of DFT.

Computed properties:
SG: I-4m2
Formation energy from raw total energies, meV per atom: 732
E, eV/atom: -4.78
Volume, Å³/f.u.: 83.69

Cell lengths 5.2268, 5.2268, 5.2268 Å; angles 129.13, 129.13, 74.80 degrees
Sites, in units of the cell vectors:
In (0.0000, 0.0000, 0.0000)
In (0.2500, 0.7500, 0.5000)
Sb (0.7500, 0.2500, 0.5000)
Re (0.5000, 0.5000, 0.0000)

---

# 12
Computed, not measured: crystalline PmMn2Ni5 at its relaxed geometry at the PBE level of DFT.

Computed properties:
SG: Immm
Formation energy from the elements, eV per formula unit: -0.009
E, eV/atom: -6.50
Volume, Å³/f.u.: 115.16

Cell lengths 3.7228, 6.0216, 6.0216 Å; angles 66.67, 71.99, 71.99 degrees
Site moments in Bohr magnetons follow the coordinates.
Sites, in units of the cell vectors:
Ni (0.0000, 0.5000, 0.5000)  0.42
Ni (0.3633, 0.8227, 0.4506)  0.42
Ni (0.6367, 0.1773, 0.5494)  0.42
Ni (0.6367, 0.5494, 0.1773)  0.42
Ni (0.3633, 0.4506, 0.8227)  0.42
Mn (0.2459, 0.2541, 0.2541)  3.12
Mn (0.7541, 0.7459, 0.7459)  3.12
Pm (0.0000, 0.0000, 0.0000)  -0.09